Hg2GeSe3 | GGA-PBE | optimized geometry

Computed properties:
VASP energy = -2.6029 eV/atom
crystal system = orthorhombic
symmetry = Cmcm

```
data_Hg2GeSe3
_chemical_formula_sum 'Hg4 Ge2 Se6'
_cell_length_a 3.8939
_cell_length_b 6.8906
_cell_length_c 12.8562
_cell_angle_alpha 90.00
_cell_angle_beta 90.00
_cell_angle_gamma 73.59
_space_group_name_H-M_alt 'P 1'
_space_group_IT_number 1
_space_group_name_Hall 'P 1'
loop_
_atom_site_label
_atom_site_fract_x
_atom_site_fract_y
_atom_site_fract_z
_atom_site_occupancy
Ge1 0.2307 0.5386 0.2500 1
Ge2 0.7693 0.4614 0.7500 1
Hg1 0.0000 0.0000 0.0000 1
Hg2 0.5203 0.9594 0.2500 1
Hg3 0.0000 0.0000 0.5000 1
Hg4 0.4797 0.0406 0.7500 1
Se1 0.6298 0.7405 0.0793 1
Se2 0.8639 0.2723 0.2500 1
Se3 0.6298 0.7405 0.4207 1
Se4 0.3702 0.2595 0.5793 1
Se5 0.1361 0.7277 0.7500 1
Se6 0.3702 0.2595 0.9207 1
```

Hg3GeSe4 | GGA-PBE | optimized geometry

Computed properties:
VASP energy = -2.5823 eV/atom
crystal system = tetragonal
symmetry = I-42m

```
data_Hg3GeSe4
_chemical_formula_sum 'Hg3 Ge1 Se4'
_cell_length_a 7.6581
_cell_length_b 7.6581
_cell_length_c 7.6581
_cell_angle_alpha 131.18
_cell_angle_beta 131.18
_cell_angle_gamma 71.53
_space_group_name_H-M_alt 'P 1'
_space_group_IT_number 1
_space_group_name_Hall 'P 1'
loop_
_atom_site_label
_atom_site_fract_x
_atom_site_fract_y
_atom_site_fract_z
_atom_site_occupancy
Ge1 0.0000 0.0000 0.0000 1
Hg1 0.5000 0.5000 0.0000 1
Hg2 0.7500 0.2500 0.5000 1
Hg3 0.2500 0.7500 0.5000 1
Se1 0.6270 0.1248 0.0000 1
Se2 0.1248 0.6270 0.0000 1
Se3 0.3730 0.3730 0.4978 1
Se4 0.8752 0.8752 0.5022 1
```

TlHg3GeSe4 | GGA-PBE | optimized geometry

Computed properties:
VASP energy = -2.5118 eV/atom
crystal system = cubic
relative energy among the computed polymorphs = 41.2 meV/atom
symmetry = P-43m

```
data_TlHg3GeSe4
_chemical_formula_sum 'Tl1 Hg3 Ge1 Se4'
_cell_length_a 6.7502
_cell_length_b 6.7502
_cell_length_c 6.7502
_cell_angle_alpha 90.00
_cell_angle_beta 90.00
_cell_angle_gamma 90.00
_space_group_name_H-M_alt 'P 1'
_space_group_IT_number 1
_space_group_name_Hall 'P 1'
loop_
_atom_site_label
_atom_site_fract_x
_atom_site_fract_y
_atom_site_fract_z
_atom_site_occupancy
Ge1 0.5000 0.5000 0.5000 1
Hg1 0.5000 0.5000 0.0000 1
Hg2 0.5000 0.0000 0.5000 1
Hg3 0.0000 0.5000 0.5000 1
Se1 0.2714 0.2714 0.2714 1
Se2 0.7286 0.7286 0.2714 1
Se3 0.7286 0.2714 0.7286 1
Se4 0.2714 0.7286 0.7286 1
Tl1 0.0000 0.0000 0.0000 1
```

TlHg3GeSe4 | GGA-PBE | optimized geometry

Computed properties:
VASP energy = -2.5530 eV/atom
crystal system = monoclinic
relative energy among the computed polymorphs = 0.0 meV/atom
symmetry = P2_1/m

```
data_TlHg3GeSe4
_chemical_formula_sum 'Tl2 Hg6 Ge2 Se8'
_cell_length_a 7.1851
_cell_length_b 7.2591
_cell_length_c 10.7924
_cell_angle_alpha 90.00
_cell_angle_beta 92.89
_cell_angle_gamma 90.00
_space_group_name_H-M_alt 'P 1'
_space_group_IT_number 1
_space_group_name_Hall 'P 1'
loop_
_atom_site_label
_atom_site_fract_x
_atom_site_fract_y
_atom_site_fract_z
_atom_site_occupancy
Ge1 0.4566 0.2500 0.2091 1
Ge2 0.5434 0.7500 0.7909 1
Hg1 0.7615 0.5558 0.0150 1
Hg2 0.7615 0.9442 0.0150 1
Hg3 0.9405 0.2500 0.3173 1
Hg4 0.0595 0.7500 0.6827 1
Hg5 0.2385 0.0558 0.9850 1
Hg6 0.2385 0.4442 0.9850 1
Se1 0.1714 0.7500 0.1088 1
Se2 0.6779 0.5088 0.2619 1
Se3 0.6779 0.9912 0.2619 1
Se4 0.2786 0.2500 0.4003 1
Se5 0.7214 0.7500 0.5997 1
Se6 0.3221 0.0088 0.7381 1
Se7 0.3221 0.4912 0.7381 1
Se8 0.8286 0.2500 0.8912 1
Tl1 0.3523 0.7500 0.3843 1
Tl2 0.6477 0.2500 0.6157 1
```

TmHgGeSe3 | GGA-PBE | optimized geometry

Computed properties:
VASP energy = -4.0726 eV/atom
crystal system = orthorhombic
symmetry = Cmcm

```
data_TmHgGeSe3
_chemical_formula_sum 'Tm2 Hg2 Ge2 Se6'
_cell_length_a 8.4003
_cell_length_b 8.4003
_cell_length_c 10.8648
_cell_angle_alpha 90.00
_cell_angle_beta 90.00
_cell_angle_gamma 149.62
_space_group_name_H-M_alt 'P 1'
_space_group_IT_number 1
_space_group_name_Hall 'P 1'
loop_
_atom_site_label
_atom_site_fract_x
_atom_site_fract_y
_atom_site_fract_z
_atom_site_occupancy
Ge1 0.5279 0.4721 0.2500 1
Ge2 0.4721 0.5279 0.7500 1
Hg1 0.2651 0.7349 0.2500 1
Hg2 0.7349 0.2651 0.7500 1
Se1 0.6110 0.3890 0.0613 1
Se2 0.9466 0.0534 0.2500 1
Se3 0.6110 0.3890 0.4387 1
Se4 0.3890 0.6110 0.5613 1
Se5 0.0534 0.9466 0.7500 1
Se6 0.3890 0.6110 0.9387 1
Tm1 0.0000 0.0000 0.0000 1
Tm2 0.0000 0.0000 0.5000 1
```

SmHgGe | GGA-PBE | optimized geometry

Computed properties:
VASP energy = -3.4124 eV/atom
crystal system = cubic
symmetry = F-43m

```
data_SmHgGe
_chemical_formula_sum 'Sm1 Hg1 Ge1'
_cell_length_a 4.9578
_cell_length_b 4.9578
_cell_length_c 4.9578
_cell_angle_alpha 60.00
_cell_angle_beta 60.00
_cell_angle_gamma 60.00
_space_group_name_H-M_alt 'P 1'
_space_group_IT_number 1
_space_group_name_Hall 'P 1'
loop_
_atom_site_label
_atom_site_fract_x
_atom_site_fract_y
_atom_site_fract_z
_atom_site_occupancy
Ge1 0.2500 0.2500 0.2500 1
Hg1 0.7500 0.7500 0.7500 1
Sm1 0.0000 0.0000 0.0000 1
```

Sm2HgGe2 | GGA-PBE | optimized geometry

Computed properties:
VASP energy = -4.5024 eV/atom
crystal system = tetragonal
symmetry = P4/mbm

```
data_Sm2HgGe2
_chemical_formula_sum 'Sm4 Hg2 Ge4'
_cell_length_a 7.4880
_cell_length_b 7.4880
_cell_length_c 4.2536
_cell_angle_alpha 90.00
_cell_angle_beta 90.00
_cell_angle_gamma 90.00
_space_group_name_H-M_alt 'P 1'
_space_group_IT_number 1
_space_group_name_Hall 'P 1'
loop_
_atom_site_label
_atom_site_fract_x
_atom_site_fract_y
_atom_site_fract_z
_atom_site_occupancy
Ge1 0.6195 0.1195 0.0000 1
Ge2 0.1195 0.3805 0.0000 1
Ge3 0.8805 0.6195 0.0000 1
Ge4 0.3805 0.8805 0.0000 1
Hg1 0.0000 0.0000 0.0000 1
Hg2 0.5000 0.5000 0.0000 1
Sm1 0.3203 0.1797 0.5000 1
Sm2 0.8203 0.3203 0.5000 1
Sm3 0.1797 0.6797 0.5000 1
Sm4 0.6797 0.8203 0.5000 1
```

SnHgGe | GGA-PBE | optimized geometry

Computed properties:
VASP energy = -2.8011 eV/atom
crystal system = cubic
relative energy among the computed polymorphs = 0.0 meV/atom
symmetry = F-43m

```
data_SnHgGe
_chemical_formula_sum 'Sn1 Hg1 Ge1'
_cell_length_a 4.8353
_cell_length_b 4.8353
_cell_length_c 4.8353
_cell_angle_alpha 60.00
_cell_angle_beta 60.00
_cell_angle_gamma 60.00
_space_group_name_H-M_alt 'P 1'
_space_group_IT_number 1
_space_group_name_Hall 'P 1'
loop_
_atom_site_label
_atom_site_fract_x
_atom_site_fract_y
_atom_site_fract_z
_atom_site_occupancy
Ge1 0.0000 0.0000 0.0000 1
Hg1 0.2500 0.2500 0.2500 1
Sn1 0.7500 0.7500 0.7500 1
```